No. 1
The following is a PBE calculation of TmCd2SbO6 after structural relaxation, from Alexandria.

The formation energy from raw total energies is -1887 meV/atom. The value obtained for the spin magnetization is 0.0 μB/cell. Its total energy is -5.904 eV per atom.

The space group is R3 (No. 146, hexagonal axes) and the conventional cell measures 5.6322, 5.6322 and 14.6109 Å, with angles of 90.00, 90.00 and 120.00 degrees. Symmetry generates all atoms from Tm at (0.0000, 0.0000, 0.0000), Cd at (0.0000, 0.0000, 0.2715), Cd at (0.0000, 0.0000, 0.7760), Sb at (0.0000, 0.0000, 0.4956), O at (0.0077, 0.3945, 0.2355) and O at (0.0703, 0.7048, 0.0763).



No. 2
The following is a PBE calculation of YEr4Tc2 after structural relaxation, from Alexandria.

For the energy relative to the elements, the calculation gives -0.055 eV per atom. The value obtained for the spin magnetization is 0.0 μB/cell. Its total energy is -6.547 eV per atom.

The space group is P2_1/m (No. 11) and the conventional cell measures 7.7596, 6.2485 and 7.8761 Å, with angles of 90.00, 111.84 and 90.00 degrees. Symmetry generates all atoms from Y at (0.0244, 0.2500, 0.1570), Er at (0.2398, 0.5009, 0.5831), Er at (0.3255, 0.7500, 0.2515), Er at (0.3873, 0.2500, 0.0255), Tc at (0.0336, 0.2500, 0.7529) and Tc at (0.4230, 0.2500, 0.3827).



No. 3
The following is a PBE calculation of Tb5SmY3 after structural relaxation, from Alexandria.

For the energy relative to the elements, the calculation gives 0.293 eV per atom. For the offset from the most stable computed form, the calculation gives 0 meV/atom. The value obtained for the spin magnetization is 0.0 μB/cell. Its total energy is -4.958 eV per atom.

The space group is C2/c (No. 15) and the conventional cell measures 18.3282, 6.3439 and 11.3737 Å, with angles of 90.00, 112.19 and 90.00 degrees. Symmetry generates all atoms from Tb at (0.0000, 0.1019, 0.2500), Tb at (0.1695, 0.2122, 0.7104), Tb at (0.1700, 0.3195, 0.3710), Sm at (0.0000, 0.3703, 0.7500), Y at (0.0000, 0.5000, 0.0000) and Y at (0.1604, 0.1927, 0.0143).



No. 4
The following is a PBE calculation of Nd2PaAlPt6 after structural relaxation, from Alexandria.

For the energy relative to the elements, the calculation gives -0.885 eV per atom. The value obtained for the spin magnetization is 0.0 μB/cell. Its total energy is -6.787 eV per atom.

The space group is R-3m (No. 166, hexagonal axes) and the conventional cell measures 5.6870, 5.6870 and 24.9060 Å, with angles of 90.00, 90.00 and 120.00 degrees. Symmetry generates all atoms from Nd at (0.0000, 0.0000, 0.2030), Pa at (0.0000, 0.0000, 0.0000), Al at (0.0000, 0.0000, 0.5000) and Pt at (0.0033, 0.5016, 0.2452).



No. 5
The following is a PBE calculation of ZrCo2I after structural relaxation, from Alexandria.

The formation energy from raw total energies is 705 meV/atom. For the offset from the most stable computed form, the calculation gives 206 meV/atom. The value obtained for the spin magnetization is 0.0 μB/cell. Its total energy is -5.373 eV per atom.

The space group is I-42d (No. 122) and the conventional cell measures 5.5114, 5.5114 and 11.8276 Å, with angles of 90.00, 90.00 and 90.00 degrees. Symmetry generates all atoms from Zr at (0.0000, 0.0000, 0.0000), Co at (0.2408, 0.2500, 0.6250) and I at (0.0000, 0.0000, 0.5000).



No. 6
The following is a PBE calculation of Dy2Zn4GaAu3 after structural relaxation, from Alexandria.

For the energy relative to the elements, the calculation gives -0.492 eV per atom. The value obtained for the spin magnetization is 0.0 μB/cell. Its total energy is -3.208 eV per atom.

The space group is P-4m2 (No. 115) and the conventional cell measures 4.0883, 4.0883 and 11.6409 Å, with angles of 90.00, 90.00 and 90.00 degrees. Symmetry generates all atoms from Dy at (0.0000, 0.5000, 0.2436), Zn at (0.0000, 0.0000, 0.5000), Zn at (0.0000, 0.5000, 0.8630), Zn at (0.5000, 0.5000, 0.5000), Ga at (0.5000, 0.5000, 0.0000), Au at (0.0000, 0.0000, 0.0000) and Au at (0.0000, 0.5000, 0.6464).



No. 7
The following is a PBE calculation of CaInFe2 after structural relaxation, from Alexandria.

For the energy relative to the elements, the calculation gives 0.493 eV per atom. The value obtained for the spin magnetization is 8.9 μB/cell. Its total energy is -4.924 eV per atom.

The space group is Cmmm (No. 65) and the conventional cell measures 6.4279, 7.3028 and 3.1121 Å, with angles of 90.00, 90.00 and 90.00 degrees. Symmetry generates all atoms from Ca at (0.0000, 0.0000, 0.0000), In at (0.0000, 0.5000, 0.0000) and Fe at (0.2500, 0.2500, 0.5000).



No. 8
The following is a PBE calculation of CePm2Dy after structural relaxation, from Alexandria.

For the energy relative to the elements, the calculation gives 0.075 eV per atom. For the offset from the most stable computed form, the calculation gives 11 meV/atom. The value obtained for the spin magnetization is 0.7 μB/cell. Its total energy is -4.934 eV per atom.

The space group is P4/mmm (No. 123) and the conventional cell measures 5.0715, 5.0715 and 5.0695 Å, with angles of 90.00, 90.00 and 90.00 degrees. Symmetry generates all atoms from Ce at (0.0000, 0.0000, 0.0000), Pm at (0.0000, 0.5000, 0.5000) and Dy at (0.5000, 0.5000, 0.0000).



No. 9
The following is a PBE calculation of YAl2Te after structural relaxation, from Alexandria.

The formation energy from raw total energies is -130 meV/atom. The value obtained for the spin magnetization is 0.0 μB/cell. Its total energy is -4.403 eV per atom.

The space group is I-42d (No. 122) and the conventional cell measures 8.2129, 8.2129 and 6.0124 Å, with angles of 90.00, 90.00 and 90.00 degrees. Symmetry generates all atoms from Y at (0.0000, 0.0000, 0.0000), Al at (0.2326, 0.2500, 0.6250) and Te at (0.0000, 0.0000, 0.5000).



No. 10
The following is a PBE calculation of BaBe2C after structural relaxation, from Alexandria.

For the energy relative to the elements, the calculation gives 0.391 eV per atom. The value obtained for the spin magnetization is 0.0 μB/cell. Its total energy is -4.259 eV per atom.

The space group is I4_1/amd (No. 141, origin choice 2) and the conventional cell measures 5.6837, 5.6837 and 7.9649 Å, with angles of 90.00, 90.00 and 90.00 degrees. Symmetry generates all atoms from Ba at (0.0000, 0.2500, 0.3750), Be at (0.0000, 0.0000, 0.0000) and C at (0.0000, 0.2500, 0.8750).



No. 11
The following is a PBE calculation of ErAgHgGe after structural relaxation, from Alexandria.

For the energy relative to the elements, the calculation gives -0.311 eV per atom. The value obtained for the spin magnetization is 0.0 μB/cell. Its total energy is -3.395 eV per atom.

The space group is F-43m (No. 216) and the conventional cell measures 6.9883, 6.9883 and 6.9883 Å, with angles of 90.00, 90.00 and 90.00 degrees. Symmetry generates all atoms from Er at (0.0000, 0.0000, 0.0000), Ag at (0.0000, 0.0000, 0.5000), Hg at (0.2500, 0.2500, 0.7500) and Ge at (0.2500, 0.2500, 0.2500).



No. 12
The following is a PBE calculation of Y2In3Pd4 after structural relaxation, from Alexandria.

For the energy relative to the elements, the calculation gives -0.698 eV per atom. The value obtained for the spin magnetization is 0.0 μB/cell. Its total energy is -5.356 eV per atom.

The space group is C2/m (No. 12) and the conventional cell measures 8.2970, 4.8033 and 9.1335 Å, with angles of 90.00, 90.27 and 90.00 degrees. Symmetry generates all atoms from Y at (0.1659, 0.0000, 0.2822), In at (0.0000, 0.5000, 0.5000), In at (0.1684, 0.0000, 0.9137), Pd at (0.0022, 0.5000, 0.8491) and Pd at (0.1673, 0.0000, 0.5977).